Entry from the Alexandria database: a relaxed Sc3InP crystal (PBE). Values from VASP.

Output
The total moment comes out at 0.0 μB per formula unit. The energy above the most stable polymorph in this dataset comes out at 0 meV/atom. The space group is Pm-3m (221). Its theoretical density is 3.986 g/cm3. The calculated formation energy comes out at -0.748 eV/atom. The uncorrected energy comes out at -30.88 eV/cell.

Structure (Quantum ESPRESSO input):
```
&SYSTEM
  ibrav = 0, nat = 5, ntyp = 3
/
ATOMIC_SPECIES
Sc 44.96 Sc.upf
P 30.97 P.upf
In 114.82 In.upf
ATOMIC_POSITIONS angstrom
Sc -2.357 -0.246 0.603
Sc 0.577 0.258 2.362
Sc -0.301 2.419 -0.191
P 0.000 0.000 0.000
In -2.081 2.431 2.774
CELL_PARAMETERS angstrom
-0.603 4.838 -0.382
-4.713 -0.492 1.206
1.154 0.517 4.724
```